First-principles (PBE-GGA) data for an optimized crystal structure of CsCuAgI4, as listed in Alexandria.

Calculated values
Its calculated total energy is -2.5386 eV per atom. As for the uncorrected formation energy: -538 meV/atom. As for the space group: P2_1/m (11). The calculation puts the density of states at the Fermi level at 9.40 states/eV/f.u.

Unit cell a=6.8877 b=7.9396 c=10.7330 alpha=90.00 beta=107.49 gamma=90.00
With the nearest neighbours (Å) after each atom.
Element x y z (fractional)
Cs1 0.1841 0.2500 0.3907  7 I 3.91-4.32
Cs2 0.8159 0.7500 0.6093  7 I 3.91-4.32
Cu1 0.3378 0.7500 0.1994  4 I 2.57-2.63
Cu2 0.6622 0.2500 0.8006  4 I 2.57-2.63
Ag1 0.3929 0.2500 0.9911  5 I 2.87-2.98, 1 Cu 3.15
Ag2 0.6071 0.7500 0.0089  5 I 2.87-2.98, 1 Cu 3.15
I1 0.0187 0.7500 0.9993  1 Cu 2.57, 1 Ag 2.87
I2 0.2352 0.7500 0.4159  1 Cu 2.62
I3 0.4170 0.5056 0.7962  1 Cu 2.63
I4 0.4170 0.9944 0.7962  1 Cu 2.63
I5 0.5830 0.0056 0.2038  1 Cu 2.63
I6 0.5830 0.4944 0.2038  1 Cu 2.63
I7 0.7648 0.2500 0.5841  1 Cu 2.62
I8 0.9813 0.2500 0.0007  1 Cu 2.57, 1 Ag 2.87

=====

First-principles (PBE-GGA) data for an optimized crystal structure of BaBe2Te, as listed in Alexandria.

Calculated values
Its calculated total energy is -3.1346 eV per atom. As for the uncorrected formation energy: -5 meV/atom. As for the space group: Pmmm (47). The calculation puts the density of states at the Fermi level at 2.20 states/eV/f.u.

Unit cell a=4.4828 b=4.7524 c=5.1553 alpha=90.00 beta=90.00 gamma=90.00
With the nearest neighbours (Å) after each atom.
Element x y z (fractional)
Ba1 0.0000 0.0000 0.0000  4 Te 3.42, 8 Be 3.68
Be1 0.2465 0.5000 0.5000  2 Be 2.21-2.27
Be2 0.7535 0.5000 0.5000  2 Be 2.21-2.27
Te1 0.5000 0.0000 0.5000  4 Be 2.63

=====

First-principles (PBE-GGA) data for an optimized crystal structure of MgBi2RhF, as listed in Alexandria.

Calculated values
Its calculated total energy is -4.0198 eV per atom. As for the uncorrected formation energy: -304 meV/atom. As for the space group: P4/mmm (123). The calculation puts the density of states at the Fermi level at 3.14 states/eV/f.u.

Unit cell a=5.4628 b=5.4628 c=4.0838 alpha=90.00 beta=90.00 gamma=90.00
With the nearest neighbours (Å) after each atom.
Element x y z (fractional)
Mg1 0.0000 0.0000 0.0000  8 Bi 3.41
Bi1 0.0000 0.5000 0.5000  2 Rh 2.73
Bi2 0.5000 0.0000 0.5000  2 Rh 2.73
Rh1 0.5000 0.5000 0.5000  2 F 2.04
F1 0.5000 0.5000 0.0000  2 Rh 2.04

=====

First-principles (PBE-GGA) data for an optimized crystal structure of Sr2YTc, as listed in Alexandria.

Calculated values
The calculation puts the formation enthalpy at 0 K at 0.629 eV/atom. The distance to the lowest polymorph of the same formula comes out at 311 meV/atom. Its calculated total energy is -4.4196 eV per atom. As for the space group: I-4m2 (119). The calculation puts the density of states at the Fermi level at 2.65 states/eV/f.u.

Unit cell a=5.4381 b=5.4381 c=7.7518 alpha=90.00 beta=90.00 gamma=90.00
With the nearest neighbours (Å) after each atom.
Element x y z (fractional)
Sr1 0.0000 0.0000 0.0000  4 Tc 3.34, 4 Sr 3.34
Sr2 0.0000 0.5000 0.2500  4 Sr 3.34, 4 Y 3.34
Sr3 0.5000 0.0000 0.7500  4 Sr 3.34, 4 Y 3.34
Sr4 0.5000 0.5000 0.5000  4 Tc 3.34, 4 Sr 3.34
Y1 0.0000 0.0000 0.5000  4 Tc 3.34, 4 Sr 3.34
Y2 0.5000 0.5000 0.0000  4 Tc 3.34, 4 Sr 3.34
Tc1 0.0000 0.5000 0.7500  4 Sr 3.34, 4 Y 3.34
Tc2 0.5000 0.0000 0.2500  4 Sr 3.34, 4 Y 3.34

=====

First-principles (PBE-GGA) data for an optimized crystal structure of Ce2Pm3Dy6Th, as listed in Alexandria.

Calculated values
The calculation puts the formation enthalpy at 0 K at 0.039 eV/atom. Its calculated total energy is -5.0572 eV per atom. As for the space group: C2/m (12). The calculation puts the density of states at the Fermi level at 20.79 states/eV/f.u.

Unit cell a=6.1732 b=6.1732 c=11.7315 alpha=95.04 beta=95.04 gamma=120.01
With the nearest neighbours (Å) after each atom.
Element x y z (fractional)
Ce1 0.1667 0.8333 0.0000  6 Dy 3.49, 3 Ce 3.56-3.57, 3 Th 3.56
Ce2 0.8333 0.1667 0.0000  6 Dy 3.49, 3 Ce 3.56-3.57, 3 Th 3.56
Pm1 0.0000 0.0000 0.5000  6 Pm 3.56, 6 Dy 3.60-3.61
Pm2 0.3332 0.6668 0.5000  6 Pm 3.56-3.57, 6 Dy 3.60
Pm3 0.6668 0.3332 0.5000  6 Pm 3.56-3.57, 6 Dy 3.60
Dy1 0.0862 0.4182 0.7558  1 Th 3.49, 2 Ce 3.49, 6 Dy 3.55-3.57, 3 Pm 3.60
Dy2 0.2498 0.2498 0.2442  1 Th 3.49, 2 Ce 3.49, 6 Dy 3.55-3.57, 3 Pm 3.60-3.61
Dy3 0.4182 0.0862 0.7558  1 Th 3.49, 2 Ce 3.49, 6 Dy 3.55-3.57, 3 Pm 3.60
Dy4 0.5818 0.9138 0.2442  1 Th 3.49, 2 Ce 3.49, 6 Dy 3.55-3.57, 3 Pm 3.60
Dy5 0.7502 0.7502 0.7558  1 Th 3.49, 2 Ce 3.49, 6 Dy 3.55-3.57, 3 Pm 3.60-3.61
Dy6 0.9138 0.5818 0.2442  1 Th 3.49, 2 Ce 3.49, 6 Dy 3.55-3.57, 3 Pm 3.60
Th1 0.5000 0.5000 0.0000  6 Dy 3.49, 6 Ce 3.56

=====

First-principles (PBE-GGA) data for an optimized crystal structure of Fe2TeHOs, as listed in Alexandria.

Calculated values
Its calculated total energy is -5.5669 eV per atom. As for the space group: P4/mmm (123). The calculation puts the density of states at the Fermi level at 5.66 states/eV/f.u.

Unit cell a=4.7892 b=4.7892 c=3.3231 alpha=90.00 beta=90.00 gamma=90.00
With the nearest neighbours (Å) after each atom.
Element x y z (fractional)
Fe1 0.0000 0.5000 0.0000  2 Te 2.39
Fe2 0.5000 0.0000 0.0000  2 Te 2.39
Te1 0.0000 0.0000 0.0000  2 H 1.66
H1 0.0000 0.0000 0.5000  2 Te 1.66
Os1 0.5000 0.5000 0.5000  8 Fe 2.91